#w
The following is a PBE calculation of a geometry-optimized TbYInAu structure, from Alexandria via LeMat-Bulk.

Results
Size of the total moment: 0.000 μB per formula unit

abc: 5.239 5.239 5.239
angles: 60.00 60.00 60.00
Atoms (fractional coordinates):
Y  0.750  0.750  0.750
Tb  0.250  0.250  0.250
Au  0.500  0.500  0.500
In  0.000  0.000  0.000


#x
The following is a PBE calculation of a geometry-optimized TbYInAu structure, from Alexandria via LeMat-Bulk.

Results
Size of the total moment: 0.000 μB per formula unit

abc: 3.620 3.620 7.709
angles: 90.00 90.00 90.00
Atoms (fractional coordinates):
Tb  0.500  0.500  0.125
Y  0.500  0.500  0.589
In  0.000  0.000  0.856
Au  0.000  0.000  0.358


Quick one: most stable of them? #x


#w
The following is a PBE calculation of a geometry-optimized InTeAu2 structure, from Alexandria via LeMat-Bulk.

Results
Size of the total moment: 0.000 μB per formula unit

abc: 6.636 6.636 4.077
angles: 110.95 110.95 35.68
Atoms (fractional coordinates):
Au  0.997  0.997  0.990
Au  0.756  0.756  0.763
In  0.508  0.508  0.501
Te  0.240  0.240  0.246


#x
The following is a PBE calculation of a geometry-optimized InTeAu2 structure, from Alexandria via LeMat-Bulk.

Results
Size of the total moment: 0.000 μB per formula unit

abc: 3.230 3.230 8.900
angles: 90.00 90.00 90.00
Atoms (fractional coordinates):
Au  0.000  0.000  0.030
Au  0.500  0.500  0.236
In  0.000  0.000  0.453
Te  0.500  0.500  0.782


Quick one: most stable of them? #w


#w
The following is a PBE calculation of a geometry-optimized InTeAu2 structure, from Alexandria via LeMat-Bulk.

Results
Size of the total moment: 0.000 μB per formula unit

abc: 6.396 6.396 2.973
angles: 63.66 63.66 78.79
Atoms (fractional coordinates):
Au  0.000  0.000  0.000
Au  0.500  0.500  0.000
In  0.500  0.000  0.500
Te  0.000  0.500  0.500


#x
The following is a PBE calculation of a geometry-optimized InTeAu2 structure, from Alexandria via LeMat-Bulk.

Results
Size of the total moment: 0.000 μB per formula unit

abc: 4.300 4.905 4.919
angles: 71.57 90.00 90.00
Atoms (fractional coordinates):
Au  0.000  0.011  0.011
Au  0.500  0.241  0.241
In  0.000  0.472  0.471
Te  0.500  0.777  0.777


Quick one: most stable of them? #x